4
Lattice="7.444 -0.007 -0.004 6.439 3.735 -0.004 6.439 1.729 3.311" Properties=species:S:1:pos:R:3 comment="SrTaAs2, relaxed, DFT PBE-GGA" e_tot_ev_per_atom=-6.394 spacegroup="No. 166" pbc="T T T"
Sr 5.080 1.364 0.826
As 0.289 0.078 0.047
As 9.872 2.651 1.604
Ta 15.241 4.093 2.477

---

8
Lattice="-0.773 4.742 -0.404 -4.745 -0.800 -0.304 -3.483 2.660 9.117" Properties=species:S:1:pos:R:3 comment="SrTa2As, relaxed, DFT PBE-GGA" e_tot_ev_per_atom=-6.943 spacegroup="No. 122" pbc="T T T"
Sr 0.000 0.000 0.000
Sr -3.508 4.687 4.180
As -2.759 1.971 -0.354
As -5.494 1.916 4.229
Ta -1.708 2.064 2.114
Ta -4.172 2.223 1.914
Ta -6.148 3.226 6.478
Ta -5.975 5.692 6.312

---

4
Lattice="-2.283 -3.047 -0.066 1.639 -1.296 3.184 -4.865 3.560 3.953" Properties=species:S:1:pos:R:3 comment="SrTaAs2, relaxed, DFT PBE-GGA" e_tot_ev_per_atom=-6.009 spacegroup="No. 99" pbc="T T T"
Sr -2.115 1.548 1.719
As -4.246 3.107 3.450
As -1.596 -1.240 2.594
Ta -4.850 1.142 5.239

---

4
Lattice="-2.618 -2.751 1.612 -1.260 -1.024 -3.793 4.598 -4.552 -0.299" Properties=species:S:1:pos:R:3 comment="Sr2TaAs, relaxed, DFT PBE-GGA" e_tot_ev_per_atom=-4.595 spacegroup="No. 123" pbc="T T T"
Sr 4.525 -4.479 -0.294
Sr 2.372 -2.348 -0.154
As 1.509 -5.301 -1.314
Ta -0.790 -3.025 -1.165

---

4
Lattice="5.589 0.014 -0.005 0.772 5.535 0.005 -2.035 -4.087 3.222" Properties=species:S:1:pos:R:3 comment="SrTaAs2, relaxed, DFT PBE-GGA" e_tot_ev_per_atom=-5.954 spacegroup="No. 71" pbc="T T T"
Sr 3.367 -0.649 1.609
As 0.253 0.221 0.000
As 2.927 2.554 0.000
Ta 0.959 2.111 1.614

---

4
Lattice="3.826 0.000 0.002 1.915 3.312 0.002 1.910 1.102 7.335" Properties=species:S:1:pos:R:3 comment="SrTaAs2, relaxed, DFT PBE-GGA" e_tot_ev_per_atom=-6.355 spacegroup="No. 160" pbc="T T T"
Sr 3.827 2.208 3.597
As 5.740 3.312 1.520
As 5.738 3.310 5.848
Ta 1.913 1.104 0.049

---

8
Lattice="6.557 0.000 0.000 0.000 6.557 0.000 3.279 3.279 6.014" Properties=species:S:1:pos:R:3 comment="SrTaAs2, relaxed, DFT PBE-GGA" e_tot_ev_per_atom=-6.036 spacegroup="No. 122" pbc="T T T"
Sr 3.279 3.279 0.000
Sr 3.279 6.557 3.007
As 5.443 1.639 1.504
As 1.115 4.918 1.504
As 4.918 4.393 4.511
As 8.197 8.721 4.511
Ta 0.000 0.000 0.000
Ta 6.557 3.279 3.007

---

5
Lattice="5.063 0.000 0.000 0.000 5.063 0.000 0.000 0.000 5.063" Properties=species:S:1:pos:R:3 comment="SrTaAs3, relaxed, DFT PBE-GGA" e_tot_ev_per_atom=-5.914 spacegroup="No. 221" pbc="T T T"
Sr 2.531 2.531 2.531
As 0.000 2.531 0.000
As 0.000 0.000 2.531
As 2.531 0.000 0.000
Ta 0.000 0.000 0.000